! PmLuGaPt, relaxed, DFT PBE; values from VASP
&SYSTEM
  ibrav = 0, nat = 4, ntyp = 4
/
ATOMIC_SPECIES
Pm 145.00 Pm.upf
Lu 174.97 Lu.upf
Ga 69.72 Ga.upf
Pt 195.08 Pt.upf
CELL_PARAMETERS angstrom
5.025 0.000 0.000
2.512 4.351 0.000
2.512 1.450 4.103
ATOMIC_POSITIONS crystal
Pm 0.000 0.000 0.000
Lu 0.500 0.500 0.500
Ga 0.250 0.250 0.250
Pt 0.750 0.750 0.750
! DFT formation energy: -0.828 eV per atom
! total DFT energy (no corrections): -21.7 eV/cell